[1]
First-principles (PBE) data for a relaxed Dy3HfCo8 crystal, as listed in Alexandria via LeMat-Bulk.

energy of formation = -223 meV per atom
E = -249.9 eV per cell
spin magnetization = 0.56 μB/atom

The structure in CIF format:
```
data_Dy3HfCo8
_cell_length_a 5.0102
_cell_length_b 5.0102
_cell_length_c 24.5464
_cell_angle_alpha 90.00
_cell_angle_beta 90.00
_cell_angle_gamma 120.00
_symmetry_space_group_name_H-M 'R 3 m'
_symmetry_Int_Tables_number 160
_symmetry_space_group_name_Hall 'R 3 -2"'
loop_
_atom_site_label
_atom_site_fract_x
_atom_site_fract_y
_atom_site_fract_z
Dy1 0.0000 0.0000 0.0000
Dy2 0.0000 0.0000 0.1254
Dy3 0.0000 0.0000 0.6254
Hf1 0.0000 0.0000 0.5009
Co1 0.0000 0.0000 0.3131
Co2 0.0000 0.0000 0.8134
Co3 0.0052 0.5026 0.0654
Co4 0.1684 0.3368 0.8939
```


[2]
First-principles (PBE) data for a relaxed DyHfCo crystal, as listed in Alexandria via LeMat-Bulk.

energy of formation = -96 meV per atom
E = -43.9 eV per cell
spin magnetization = 0.00 μB/atom

The structure in CIF format:
```
data_DyHfCo
_cell_length_a 3.2632
_cell_length_b 3.2632
_cell_length_c 11.6806
_cell_angle_alpha 90.00
_cell_angle_beta 90.00
_cell_angle_gamma 90.00
_symmetry_space_group_name_H-M 'I 4 m m'
_symmetry_Int_Tables_number 107
_symmetry_space_group_name_Hall 'I 4 -2'
loop_
_atom_site_label
_atom_site_fract_x
_atom_site_fract_y
_atom_site_fract_z
Dy1 0.0000 0.0000 0.0000
Hf1 0.0000 0.0000 0.2708
Co1 0.0000 0.0000 0.6680
```


[3]
First-principles (PBE) data for a relaxed DyHfCo10 crystal, as listed in Alexandria via LeMat-Bulk.

energy of formation = -117 meV per atom
E = -87.0 eV per cell
spin magnetization = 1.13 μB/atom

The structure in CIF format:
```
data_DyHfCo10
_cell_length_a 3.9620
_cell_length_b 4.8182
_cell_length_c 8.3612
_cell_angle_alpha 90.00
_cell_angle_beta 90.00
_cell_angle_gamma 90.00
_symmetry_space_group_name_H-M 'P m m m'
_symmetry_Int_Tables_number 47
_symmetry_space_group_name_Hall '-P 2 2'
loop_
_atom_site_label
_atom_site_fract_x
_atom_site_fract_y
_atom_site_fract_z
Dy1 0.0000 0.0000 0.0000
Hf1 0.0000 0.5000 0.5000
Co1 0.0000 0.0000 0.3427
Co2 0.0000 0.5000 0.1792
Co3 0.5000 0.0000 0.5000
Co4 0.5000 0.2538 0.2562
Co5 0.5000 0.5000 0.0000
```


[4]
First-principles (PBE) data for a relaxed DyHf2Co9 crystal, as listed in Alexandria via LeMat-Bulk.

energy of formation = -275 meV per atom
E = -275.3 eV per cell
spin magnetization = 0.80 μB/atom

The structure in CIF format:
```
data_DyHf2Co9
_cell_length_a 4.8748
_cell_length_b 4.8748
_cell_length_c 23.7162
_cell_angle_alpha 90.00
_cell_angle_beta 90.00
_cell_angle_gamma 120.00
_symmetry_space_group_name_H-M 'R -3 m'
_symmetry_Int_Tables_number 166
_symmetry_space_group_name_Hall '-R 3 2"'
loop_
_atom_site_label
_atom_site_fract_x
_atom_site_fract_y
_atom_site_fract_z
Dy1 0.0000 0.0000 0.0000
Hf1 0.0000 0.0000 0.1400
Co1 0.0000 0.0000 0.3357
Co2 0.0000 0.0000 0.5000
Co3 0.0066 0.5033 0.9153
```


[5]
First-principles (PBE) data for a relaxed DyHfCo2 crystal, as listed in Alexandria via LeMat-Bulk.

energy of formation = -220 meV per atom
E = -118.6 eV per cell
spin magnetization = 0.31 μB/atom
energy above the lowest structure with this stoichiometry = 68.8 meV per atom

The structure in CIF format:
```
data_DyHfCo2
_cell_length_a 6.4950
_cell_length_b 6.4950
_cell_length_c 6.4950
_cell_angle_alpha 90.00
_cell_angle_beta 90.00
_cell_angle_gamma 90.00
_symmetry_space_group_name_H-M 'F m -3 m'
_symmetry_Int_Tables_number 225
_symmetry_space_group_name_Hall '-F 4 2 3'
loop_
_atom_site_label
_atom_site_fract_x
_atom_site_fract_y
_atom_site_fract_z
Dy1 0.0000 0.0000 0.0000
Hf1 0.0000 0.0000 0.5000
Co1 0.2500 0.2500 0.2500
```


[6]
First-principles (PBE) data for a relaxed DyHfCo4 crystal, as listed in Alexandria via LeMat-Bulk.

energy of formation = -242 meV per atom
E = -177.7 eV per cell
spin magnetization = 0.48 μB/atom

The structure in CIF format:
```
data_DyHfCo4
_cell_length_a 7.0093
_cell_length_b 7.0093
_cell_length_c 7.0093
_cell_angle_alpha 90.00
_cell_angle_beta 90.00
_cell_angle_gamma 90.00
_symmetry_space_group_name_H-M 'F -4 3 m'
_symmetry_Int_Tables_number 216
_symmetry_space_group_name_Hall 'F -4 2 3'
loop_
_atom_site_label
_atom_site_fract_x
_atom_site_fract_y
_atom_site_fract_z
Dy1 0.0000 0.0000 0.0000
Hf1 0.2500 0.2500 0.2500
Co1 0.1244 0.1244 0.6244
```


[7]
First-principles (PBE) data for a relaxed DyHfCoIr crystal, as listed in Alexandria via LeMat-Bulk.

energy of formation = -545 meV per atom
E = -130.8 eV per cell
spin magnetization = 0.26 μB/atom

The structure in CIF format:
```
data_DyHfCoIr
_cell_length_a 6.6237
_cell_length_b 6.6237
_cell_length_c 6.6237
_cell_angle_alpha 90.00
_cell_angle_beta 90.00
_cell_angle_gamma 90.00
_symmetry_space_group_name_H-M 'F -4 3 m'
_symmetry_Int_Tables_number 216
_symmetry_space_group_name_Hall 'F -4 2 3'
loop_
_atom_site_label
_atom_site_fract_x
_atom_site_fract_y
_atom_site_fract_z
Dy1 0.0000 0.0000 0.0000
Hf1 0.0000 0.0000 0.5000
Co1 0.2500 0.2500 0.7500
Ir1 0.2500 0.2500 0.2500
```


[8]
First-principles (PBE) data for a relaxed DyHf2CoN4 crystal, as listed in Alexandria via LeMat-Bulk.

E = -303.3 eV per cell
spin magnetization = 0.12 μB/atom

The structure in CIF format:
```
data_DyHf2CoN4
_cell_length_a 3.1853
_cell_length_b 10.8527
_cell_length_c 10.9982
_cell_angle_alpha 90.00
_cell_angle_beta 90.00
_cell_angle_gamma 90.00
_symmetry_space_group_name_H-M 'C m c m'
_symmetry_Int_Tables_number 63
_symmetry_space_group_name_Hall '-C 2c 2'
loop_
_atom_site_label
_atom_site_fract_x
_atom_site_fract_y
_atom_site_fract_z
Dy1 0.0000 0.1111 0.2500
Hf1 0.0000 0.3681 0.0547
Co1 0.0000 0.1521 0.7500
N1 0.0000 0.0000 0.0000
N2 0.0000 0.2694 0.6150
N3 0.0000 0.4485 0.2500
```


[9]
First-principles (PBE) data for a relaxed DyHfCoNi crystal, as listed in Alexandria via LeMat-Bulk.

energy of formation = -278 meV per atom
E = -114.2 eV per cell
spin magnetization = 0.12 μB/atom

The structure in CIF format:
```
data_DyHfCoNi
_cell_length_a 6.5137
_cell_length_b 6.5137
_cell_length_c 6.5137
_cell_angle_alpha 90.00
_cell_angle_beta 90.00
_cell_angle_gamma 90.00
_symmetry_space_group_name_H-M 'F -4 3 m'
_symmetry_Int_Tables_number 216
_symmetry_space_group_name_Hall 'F -4 2 3'
loop_
_atom_site_label
_atom_site_fract_x
_atom_site_fract_y
_atom_site_fract_z
Dy1 0.0000 0.0000 0.0000
Hf1 0.0000 0.0000 0.5000
Co1 0.2500 0.2500 0.2500
Ni1 0.2500 0.2500 0.7500
```


[10]
First-principles (PBE) data for a relaxed DyHfCoPt crystal, as listed in Alexandria via LeMat-Bulk.

energy of formation = -605 meV per atom
E = -120.5 eV per cell
spin magnetization = 0.15 μB/atom

The structure in CIF format:
```
data_DyHfCoPt
_cell_length_a 6.6759
_cell_length_b 6.6759
_cell_length_c 6.6759
_cell_angle_alpha 90.00
_cell_angle_beta 90.00
_cell_angle_gamma 90.00
_symmetry_space_group_name_H-M 'F -4 3 m'
_symmetry_Int_Tables_number 216
_symmetry_space_group_name_Hall 'F -4 2 3'
loop_
_atom_site_label
_atom_site_fract_x
_atom_site_fract_y
_atom_site_fract_z
Dy1 0.0000 0.0000 0.0000
Hf1 0.0000 0.0000 0.5000
Co1 0.2500 0.2500 0.2500
Pt1 0.2500 0.2500 0.7500
```


[11]
First-principles (PBE) data for a relaxed Dy5CoHg2 crystal, as listed in Alexandria via LeMat-Bulk.

energy of formation = -318 meV per atom
E = -66.5 eV per cell
spin magnetization = 0.00 μB/atom
energy above the lowest structure with this stoichiometry = 0.0 meV per atom

The structure in CIF format:
```
data_Dy5CoHg2
_cell_length_a 7.5179
_cell_length_b 11.5585
_cell_length_c 4.7913
_cell_angle_alpha 90.00
_cell_angle_beta 90.00
_cell_angle_gamma 90.00
_symmetry_space_group_name_H-M 'P b a m'
_symmetry_Int_Tables_number 55
_symmetry_space_group_name_Hall '-P 2 2ab'
loop_
_atom_site_label
_atom_site_fract_x
_atom_site_fract_y
_atom_site_fract_z
Dy1 0.0000 0.0000 0.0000
Dy2 0.1384 0.3021 0.0000
Dy3 0.1784 0.5783 0.5000
Co1 0.0000 0.5000 0.0000
Hg1 0.0751 0.8376 0.5000
```


[12]
First-principles (PBE) data for a relaxed Dy7Co2Hg2 crystal, as listed in Alexandria via LeMat-Bulk.

energy of formation = -189 meV per atom
E = -98.2 eV per cell
spin magnetization = 0.00 μB/atom

The structure in CIF format:
```
data_Dy7Co2Hg2
_cell_length_a 7.7335
_cell_length_b 10.8734
_cell_length_c 7.0241
_cell_angle_alpha 90.00
_cell_angle_beta 90.00
_cell_angle_gamma 90.00
_symmetry_space_group_name_H-M 'C m m m'
_symmetry_Int_Tables_number 65
_symmetry_space_group_name_Hall '-C 2 2'
loop_
_atom_site_label
_atom_site_fract_x
_atom_site_fract_y
_atom_site_fract_z
Dy1 0.0000 0.0000 0.0000
Dy2 0.0000 0.5000 0.2346
Dy3 0.2500 0.2500 0.2438
Co1 0.0000 0.2927 0.0000
Hg1 0.1854 0.0000 0.5000
```


Number 1: Fermi-level density of states 1.200 states/eV/atom. Number 2: Fermi-level density of states 1.445 states/eV/atom. Number 3: Fermi-level density of states 1.422 states/eV/atom. Number 4: Fermi-level density of states 1.271 states/eV/atom. Number 5: Fermi-level density of states 0.680 states/eV/atom. Number 6: Fermi-level density of states 1.228 states/eV/atom. Number 7: Fermi-level density of states 0.635 states/eV/atom. Number 8: Fermi-level density of states 0.350 states/eV/atom. Number 9: Fermi-level density of states 0.795 states/eV/atom. Number 10: Fermi-level density of states 0.710 states/eV/atom. Number 11: Fermi-level density of states 0.857 states/eV/atom. Number 12: Fermi-level density of states 0.942 states/eV/atom.